1.
# Zn11Ir2 GGA-PBEsol optimized geometry
# Space-group type ... I-43m, No. 217
# Formation enthalpy at 0 K ... -2.51 eV/f.u.
# E_tot ... -3.04 eV/atom
data_Zn11Ir2
_cell_length_a 7.778
_cell_length_b 7.778
_cell_length_c 7.778
_cell_angle_alpha 109.47
_cell_angle_beta 109.47
_cell_angle_gamma 109.47
_space_group_name_H-M_alt 'P 1'
_space_group_IT_number 1
loop_
_space_group_symop_operation_xyz
'x,y,z'
loop_
_atom_site_label
_atom_site_type_symbol
_atom_site_fract_x
_atom_site_fract_y
_atom_site_fract_z
_atom_site_occupancy
Zn1 Zn 0.000 0.000 0.787 1
Zn2 Zn 0.000 0.268 0.649 1
Zn3 Zn 0.000 0.357 0.357 1
Zn4 Zn 0.000 0.643 0.643 1
Zn5 Zn 0.000 0.649 0.268 1
Zn6 Zn 0.000 0.787 0.000 1
Zn7 Zn 0.213 0.213 0.213 1
Zn8 Zn 0.268 0.000 0.649 1
Zn9 Zn 0.268 0.649 0.000 1
Zn10 Zn 0.351 0.351 0.619 1
Zn11 Zn 0.351 0.619 0.351 1
Zn12 Zn 0.357 0.000 0.357 1
Zn13 Zn 0.357 0.357 0.000 1
Zn14 Zn 0.381 0.732 0.732 1
Zn15 Zn 0.619 0.351 0.351 1
Zn16 Zn 0.643 0.000 0.643 1
Zn17 Zn 0.643 0.643 0.000 1
Zn18 Zn 0.649 0.000 0.268 1
Zn19 Zn 0.649 0.268 0.000 1
Zn20 Zn 0.732 0.381 0.732 1
Zn21 Zn 0.732 0.732 0.381 1
Zn22 Zn 0.787 0.000 0.000 1
Ir1 Ir 0.000 0.000 0.346 1
Ir2 Ir 0.000 0.346 0.000 1
Ir3 Ir 0.346 0.000 0.000 1
Ir4 Ir 0.654 0.654 0.654 1

***

2.
# Zn2CuAu GGA-PBEsol optimized geometry
# Space-group type ... Pmmn, No. 59
# Formation enthalpy at 0 K ... -0.67 eV/f.u.
# E_tot ... -3.02 eV/atom
data_Zn2CuAu
_cell_length_a 4.363
_cell_length_b 5.614
_cell_length_c 4.531
_cell_angle_alpha 90.00
_cell_angle_beta 90.00
_cell_angle_gamma 90.00
_space_group_name_H-M_alt 'P 1'
_space_group_IT_number 1
loop_
_space_group_symop_operation_xyz
'x,y,z'
loop_
_atom_site_label
_atom_site_type_symbol
_atom_site_fract_x
_atom_site_fract_y
_atom_site_fract_z
_atom_site_occupancy
Zn1 Zn 0.250 0.001 0.187 1
Zn2 Zn 0.250 0.499 0.187 1
Zn3 Zn 0.750 0.501 0.813 1
Zn4 Zn 0.750 0.999 0.813 1
Cu1 Cu 0.250 0.750 0.693 1
Cu2 Cu 0.750 0.250 0.307 1
Au1 Au 0.250 0.250 0.682 1
Au2 Au 0.750 0.750 0.318 1